A relaxed structure of ZrGa2Ni2. Source: the Open Quantum Materials Database, functional GGA-PBE.

The structure in POSCAR format:
```
ZrGa2Ni2
1.0
3.827 0.000 0.000
0.000 3.827 0.000
0.000 0.000 10.288
Zr Ga Ni
2 4 4
Direct
0.000 0.000 0.000
0.500 0.500 0.500
0.000 0.000 0.382
0.000 0.000 0.618
0.500 0.500 0.118
0.500 0.500 0.882
0.000 0.500 0.250
0.000 0.500 0.750
0.500 0.000 0.250
0.500 0.000 0.750
```

## Properties
The total energy is -5.59 eV per atom. The total magnetization comes out at 0.01 μB/atom. The calculated volume is 150.7 Å³ per cell.


A relaxed structure of YLuFe2Si2. Source: the Open Quantum Materials Database, functional GGA-PBE.

The structure in POSCAR format:
```
YLuFe2Si2
1.0
4.016 0.000 0.000
0.000 4.016 0.000
0.000 0.000 6.391
Y Lu Fe Si
1 1 2 2
Direct
0.000 0.000 0.000
0.500 0.500 0.632
0.000 0.500 0.327
0.500 0.000 0.327
0.000 0.000 0.506
0.500 0.500 0.141
```

## Properties
The total energy is -7.06 eV per atom. The total magnetization comes out at 0.01 μB/atom. The calculated volume is 103.1 Å³ per cell.


- Which formula does entry 1 have?
  ZrGa2Ni2


Repeat the first record exactly.
A relaxed structure of ZrGa2Ni2. Source: the Open Quantum Materials Database, functional GGA-PBE.

The structure in POSCAR format:
```
ZrGa2Ni2
1.0
3.827 0.000 0.000
0.000 3.827 0.000
0.000 0.000 10.288
Zr Ga Ni
2 4 4
Direct
0.000 0.000 0.000
0.500 0.500 0.500
0.000 0.000 0.382
0.000 0.000 0.618
0.500 0.500 0.118
0.500 0.500 0.882
0.000 0.500 0.250
0.000 0.500 0.750
0.500 0.000 0.250
0.500 0.000 0.750
```

## Properties
The total energy is -5.59 eV per atom. The total magnetization comes out at 0.01 μB/atom. The calculated volume is 150.7 Å³ per cell.